CdNi2Au | PBE | relaxed

Computed properties:
Space group ... C2/m
Density of states at the Fermi level ... 3.81 states/eV/f.u.

a = 4.6361 Å, b = 4.6361 Å, c = 4.8960 Å
α = 79.72°, β = 79.72°, γ = 35.79°
With the nearest neighbours (Å) after each atom.
Atoms (fractional coordinates):
Ni1 0.5018 0.5018 0.4863  3 Au 2.69, 6 Ni 2.72-2.94, 3 Cd 2.74-2.75
Ni2 0.9982 0.9982 0.0137  3 Au 2.69, 6 Ni 2.72-2.94, 3 Cd 2.74-2.75
Cd1 0.7500 0.7500 0.7500  6 Ni 2.74-2.75, 4 Au 2.83, 2 Cd 2.85
Au1 0.2500 0.2500 0.2500  6 Ni 2.69, 4 Cd 2.83, 2 Au 2.85

=====

Cd2NiAu2 | PBE | relaxed

Computed properties:
Space group ... P4/mbm
Density of states at the Fermi level ... 2.93 states/eV/f.u.

a = 6.7723 Å, b = 6.7723 Å, c = 4.1992 Å
α = 90.00°, β = 90.00°, γ = 90.00°
With the nearest neighbours (Å) after each atom.
Atoms (fractional coordinates):
Au1 0.1454 0.3546 0.0000  2 Ni 2.60, 2 Cd 2.78, 1 Au 2.79
Au2 0.3546 0.8546 0.0000  2 Ni 2.60, 2 Cd 2.78, 1 Au 2.79
Au3 0.8546 0.6454 0.0000  2 Ni 2.60, 2 Cd 2.78, 1 Au 2.79
Au4 0.6454 0.1454 0.0000  2 Ni 2.60, 2 Cd 2.78, 1 Au 2.79
Cd1 0.6646 0.8354 0.5000  6 Au 2.78-2.97
Cd2 0.3354 0.1646 0.5000  6 Au 2.78-2.97
Cd3 0.8354 0.3354 0.5000  6 Au 2.78-2.97
Cd4 0.1646 0.6646 0.5000  6 Au 2.78-2.97
Ni1 0.5000 0.5000 0.0000  4 Au 2.60
Ni2 0.0000 0.0000 0.0000  4 Au 2.60

=====

CdNi2Au2 | PBE | relaxed

Computed properties:
Space group ... I4/mmm
Density of states at the Fermi level ... 4.35 states/eV/f.u.

a = 3.4821 Å, b = 3.4821 Å, c = 7.3526 Å
α = 76.30°, β = 76.30°, γ = 90.00°
With the nearest neighbours (Å) after each atom.
Atoms (fractional coordinates):
Au1 0.6080 0.6080 0.7841  4 Ni 2.63, 4 Cd 2.88
Au2 0.3920 0.3920 0.2159  4 Ni 2.63, 4 Cd 2.88
Cd1 0.0000 0.0000 0.0000  8 Au 2.88
Ni1 0.2500 0.7500 0.5000  4 Ni 2.46, 4 Au 2.63
Ni2 0.7500 0.2500 0.5000  4 Ni 2.46, 4 Au 2.63

=====

CdNi3Au | PBE | relaxed

Computed properties:
Space group ... Pm-3m
Density of states at the Fermi level ... 6.67 states/eV/f.u.

a = 4.6902 Å, b = 4.6902 Å, c = 4.6902 Å
α = 90.00°, β = 90.00°, γ = 90.00°
With the nearest neighbours (Å) after each atom.
Atoms (fractional coordinates):
Ni1 0.5000 0.0000 0.0000  2 Au 2.35
Ni2 0.0000 0.0000 0.5000  2 Au 2.35
Ni3 0.0000 0.5000 0.0000  2 Au 2.35
Au1 0.0000 0.0000 0.0000  6 Ni 2.35
Cd1 0.5000 0.5000 0.5000  12 Ni 3.32

=====

Cd2NiAu | PBE | relaxed

Computed properties:
Space group ... I4/mmm
Density of states at the Fermi level ... 2.48 states/eV/f.u.

a = 4.9331 Å, b = 4.9331 Å, c = 4.9331 Å
α = 129.48°, β = 129.48°, γ = 74.24°
With the nearest neighbours (Å) after each atom.
Atoms (fractional coordinates):
Au1 0.7500 0.2500 0.5000  8 Cd 2.88, 4 Ni 2.98
Cd1 0.0000 0.0000 0.0000  4 Ni 2.88, 4 Au 2.88, 4 Cd 2.98
Cd2 0.5000 0.5000 0.0000  4 Ni 2.88, 4 Au 2.88, 4 Cd 2.98
Ni1 0.2500 0.7500 0.5000  8 Cd 2.88, 4 Au 2.98

=====

Cd2NiAu2 | PBE | relaxed

Computed properties:
Space group ... P4/mbm
Density of states at the Fermi level ... 2.03 states/eV/f.u.

a = 7.0281 Å, b = 7.0281 Å, c = 3.8970 Å
α = 90.00°, β = 90.00°, γ = 90.00°
With the nearest neighbours (Å) after each atom.
Atoms (fractional coordinates):
Ni1 0.0000 0.0000 0.0000  4 Cd 2.68
Ni2 0.5000 0.5000 0.0000  4 Cd 2.68
Au1 0.8460 0.3460 0.5000  6 Cd 2.76-2.89, 1 Au 3.06
Au2 0.1540 0.6540 0.5000  6 Cd 2.76-2.89, 1 Au 3.06
Au3 0.6540 0.8460 0.5000  6 Cd 2.76-2.89, 1 Au 3.06
Au4 0.3460 0.1540 0.5000  6 Cd 2.76-2.89, 1 Au 3.06
Cd1 0.6500 0.1500 0.0000  2 Ni 2.68, 6 Au 2.76-2.89, 1 Cd 2.98
Cd2 0.1500 0.3500 0.0000  2 Ni 2.68, 6 Au 2.76-2.89, 1 Cd 2.98
Cd3 0.8500 0.6500 0.0000  2 Ni 2.68, 6 Au 2.76-2.89, 1 Cd 2.98
Cd4 0.3500 0.8500 0.0000  2 Ni 2.68, 6 Au 2.76-2.89, 1 Cd 2.98

=====

Cd3NiAu6 | PBE | relaxed

Computed properties:
Space group ... P2_1/m
Density of states at the Fermi level ... 5.01 states/eV/f.u.

a = 4.7775 Å, b = 7.8860 Å, c = 10.4501 Å
α = 112.42°, β = 90.00°, γ = 90.00°
With the nearest neighbours (Å) after each atom.
Atoms (fractional coordinates):
Cd1 0.2500 0.5566 0.3783  9 Au 2.81-3.02, 2 Cd 3.05, 1 Ni 3.08
Cd2 0.7500 0.2236 0.0174  11 Au 2.92-3.07, 1 Cd 3.20
Cd3 0.2500 0.3578 0.7688  8 Au 2.83-3.07, 1 Ni 2.99, 2 Cd 3.05
Cd4 0.7500 0.6422 0.2312  8 Au 2.83-3.07, 1 Ni 2.99, 2 Cd 3.05
Cd5 0.2500 0.7764 0.9826  11 Au 2.92-3.07, 1 Cd 3.20
Cd6 0.7500 0.4434 0.6217  9 Au 2.81-3.02, 2 Cd 3.05, 1 Ni 3.08
Au1 0.7500 0.1258 0.7054  3 Ni 2.69-2.82, 3 Au 2.79-3.01, 3 Cd 2.93-2.95
Au2 0.2500 0.2419 0.4751  3 Ni 2.71-2.83, 3 Au 2.79-3.02, 4 Cd 2.85-3.02
Au3 0.7500 0.5322 0.9276  5 Au 2.89-3.18, 7 Cd 2.92-3.00
Au4 0.2500 0.8742 0.2946  3 Ni 2.69-2.82, 3 Au 2.79-3.01, 3 Cd 2.93-2.95
Au5 0.7500 0.7581 0.5249  3 Ni 2.71-2.83, 3 Au 2.79-3.02, 4 Cd 2.85-3.02
Au6 0.2500 0.6768 0.6686  5 Cd 2.81-3.07, 1 Ni 2.84, 5 Au 2.88-3.02
Au7 0.7500 0.3232 0.3314  5 Cd 2.81-3.07, 1 Ni 2.84, 5 Au 2.88-3.02
Au8 0.2500 0.0566 0.8536  1 Ni 2.77, 4 Cd 2.83-3.00, 6 Au 2.88-3.05
Au9 0.2500 0.4678 0.0724  5 Au 2.89-3.18, 7 Cd 2.92-3.00
Au10 0.2500 0.1680 0.1669  8 Au 2.89-3.08, 4 Cd 2.95-3.02
Au11 0.7500 0.8320 0.8331  8 Au 2.89-3.08, 4 Cd 2.95-3.02
Au12 0.7500 0.9434 0.1464  1 Ni 2.77, 4 Cd 2.83-3.00, 6 Au 2.88-3.05
Ni1 0.2500 0.9662 0.5699  8 Au 2.69-2.84, 2 Ni 2.95, 1 Cd 2.99
Ni2 0.7500 0.0338 0.4301  8 Au 2.69-2.84, 2 Ni 2.95, 1 Cd 2.99

=====

Cd2NiAu | PBE | relaxed

Computed properties:
Space group ... F-43m
Density of states at the Fermi level ... 2.27 states/eV/f.u.

a = 4.6235 Å, b = 4.6235 Å, c = 4.6235 Å
α = 60.00°, β = 60.00°, γ = 60.00°
With the nearest neighbours (Å) after each atom.
Atoms (fractional coordinates):
Au1 0.5000 0.5000 0.5000  4 Ni 2.83, 4 Cd 2.83
Cd1 0.0000 0.0000 0.0000  4 Ni 2.83, 4 Cd 2.83
Cd2 0.2500 0.2500 0.2500  4 Cd 2.83, 4 Au 2.83
Ni1 0.7500 0.7500 0.7500  4 Au 2.83, 4 Cd 2.83

=====

Cd4NiAu | PBE | relaxed

Computed properties:
Space group ... F-43m
Density of states at the Fermi level ... 2.15 states/eV/f.u.

a = 5.5564 Å, b = 5.5564 Å, c = 5.5564 Å
α = 60.00°, β = 60.00°, γ = 60.00°
With the nearest neighbours (Å) after each atom.
Atoms (fractional coordinates):
Cd1 0.3752 0.3752 0.3752  6 Cd 2.77-2.78
Cd2 0.3752 0.3752 0.8744  6 Cd 2.77-2.78
Cd3 0.8744 0.3752 0.3752  6 Cd 2.77-2.78
Cd4 0.3752 0.8744 0.3752  6 Cd 2.77-2.78
Au1 0.0000 0.0000 0.0000  12 Cd 3.26, 4 Ni 3.40
Ni1 0.7500 0.7500 0.7500  12 Cd 3.26, 4 Au 3.40

=====

CdNi2Au | PBE | relaxed

Computed properties:
Space group ... R3m
Density of states at the Fermi level ... 4.27 states/eV/f.u.

a = 8.9626 Å, b = 8.9626 Å, c = 8.9626 Å
α = 18.19°, β = 18.19°, γ = 18.19°
With the nearest neighbours (Å) after each atom.
Atoms (fractional coordinates):
Ni1 0.9918 0.9918 0.9918  3 Ni 2.43
Ni2 0.2572 0.2572 0.2572  3 Ni 2.43
Cd1 0.7429 0.7429 0.7429  3 Ni 2.77, 6 Cd 2.83, 3 Au 3.08
Au1 0.5081 0.5081 0.5081  3 Ni 2.72, 6 Au 2.83

=====

Cd2NiAu6 | PBE | relaxed

Computed properties:
Space group ... Immm
Density of states at the Fermi level ... 4.36 states/eV/f.u.

a = 4.0892 Å, b = 7.7490 Å, c = 7.3238 Å
α = 121.94°, β = 106.19°, γ = 90.00°
With the nearest neighbours (Å) after each atom.
Atoms (fractional coordinates):
Cd1 0.3590 0.3599 0.7198  8 Au 2.85-2.97
Cd2 0.6410 0.6401 0.2802  8 Au 2.85-2.97
Au1 0.5000 0.1996 0.0000  2 Ni 2.56, 4 Au 2.84, 2 Cd 2.85
Au2 0.5000 0.8004 0.0000  2 Ni 2.56, 4 Au 2.84, 2 Cd 2.85
Au3 0.1673 0.9408 0.3340  1 Ni 2.63, 4 Au 2.84-2.85, 1 Cd 2.86
Au4 0.1673 0.3931 0.3340  1 Ni 2.63, 4 Au 2.84-2.85, 1 Cd 2.86
Au5 0.8327 0.0592 0.6660  1 Ni 2.63, 4 Au 2.84-2.85, 1 Cd 2.86
Au6 0.8327 0.6069 0.6660  1 Ni 2.63, 4 Au 2.84-2.85, 1 Cd 2.86
Ni1 0.0000 0.0000 0.0000  8 Au 2.56-2.63

=====

CdNi2Au2 | PBE | relaxed

Computed properties:
Space group ... P4/mbm
Density of states at the Fermi level ... 3.76 states/eV/f.u.

a = 7.4100 Å, b = 7.4100 Å, c = 2.9671 Å
α = 90.00°, β = 90.00°, γ = 90.00°
With the nearest neighbours (Å) after each atom.
Atoms (fractional coordinates):
Cd1 0.0000 0.0000 0.0000  4 Au 2.86, 2 Cd 2.97, 8 Ni 3.17
Cd2 0.5000 0.5000 0.0000  4 Au 2.86, 2 Cd 2.97, 8 Ni 3.17
Au1 0.3600 0.8600 0.0000  6 Ni 2.60-2.65, 2 Cd 2.86
Au2 0.1400 0.3600 0.0000  6 Ni 2.60-2.65, 2 Cd 2.86
Au3 0.6400 0.1400 0.0000  6 Ni 2.60-2.65, 2 Cd 2.86
Au4 0.8600 0.6400 0.0000  6 Ni 2.60-2.65, 2 Cd 2.86
Ni1 0.1562 0.6562 0.5000  6 Au 2.60-2.65
Ni2 0.6562 0.8438 0.5000  6 Au 2.60-2.65
Ni3 0.3438 0.1562 0.5000  6 Au 2.60-2.65
Ni4 0.8438 0.3438 0.5000  6 Au 2.60-2.65

=====

| no. | formation enthalpy at 0 K (eV per atom) |
| --- | --- |
| 1 | 0.138 |
| 2 | 0.062 |
| 3 | 0.147 |
| 4 | 1.071 |
| 5 | -0.019 |
| 6 | 0.201 |
| 7 | -0.081 |
| 8 | 0.029 |
| 9 | 0.324 |
| 10 | 0.173 |
| 11 | 0.029 |
| 12 | 0.118 |